[1]
Entry from Alexandria via LeMat-Bulk: an optimized crystal structure of RbZrBr3 (PBE).

```
data_RbZrBr3
_cell_length_a 5.547
_cell_length_b 5.547
_cell_length_c 5.536
_cell_angle_alpha 90.00
_cell_angle_beta 90.00
_cell_angle_gamma 90.00
_space_group_name_H-M_alt 'P 4/m m m'
_space_group_IT_number 123
_space_group_name_Hall '-P 4 2'
loop_
_atom_site_label
_atom_site_fract_x
_atom_site_fract_y
_atom_site_fract_z
Rb1 0.000 0.000 0.000
Zr1 0.500 0.500 0.500
Br1 0.000 0.500 0.500
Br2 0.500 0.500 0.000
```

## Properties
The calculation puts the formation energy without anion corrections at -1180 meV/atom.

[2]
Entry from Alexandria via LeMat-Bulk: an optimized crystal structure of ReBr8 (PBE).

```
data_ReBr8
_cell_length_a 8.842
_cell_length_b 8.842
_cell_length_c 8.179
_cell_angle_alpha 90.00
_cell_angle_beta 90.00
_cell_angle_gamma 90.00
_space_group_name_H-M_alt 'I 4/m m m'
_space_group_IT_number 139
_space_group_name_Hall '-I 4 2'
loop_
_atom_site_label
_atom_site_fract_x
_atom_site_fract_y
_atom_site_fract_z
Re1 0.000 0.000 0.000
Br1 0.000 0.278 0.000
Br2 0.164 0.164 0.500
```

## Properties
The calculation puts the formation energy without anion corrections at 227 meV/atom.

[3]
Entry from Alexandria via LeMat-Bulk: an optimized crystal structure of Re2Br (PBE).

```
data_Re2Br
_cell_length_a 2.956
_cell_length_b 7.516
_cell_length_c 4.284
_cell_angle_alpha 90.00
_cell_angle_beta 90.00
_cell_angle_gamma 90.00
_space_group_name_H-M_alt 'P n n m'
_space_group_IT_number 58
_space_group_name_Hall '-P 2 2n'
loop_
_atom_site_label
_atom_site_fract_x
_atom_site_fract_y
_atom_site_fract_z
Re1 0.244 0.167 0.000
Br1 0.000 0.500 0.000
```

## Properties
The polymorph energy (0 for the lowest one) comes out at 916 meV/atom. The calculation puts the formation energy without anion corrections at 1226 meV/atom.

[4]
Entry from Alexandria via LeMat-Bulk: an optimized crystal structure of ReBr3 (PBE).

```
data_ReBr3
_cell_length_a 3.4466
_cell_length_b 3.4466
_cell_length_c 27.4896
_cell_angle_alpha 90.00
_cell_angle_beta 90.00
_cell_angle_gamma 120.00
_space_group_name_H-M_alt 'R -3 m'
_space_group_IT_number 166
_space_group_name_Hall '-R 3 2"'
loop_
_atom_site_label
_atom_site_fract_x
_atom_site_fract_y
_atom_site_fract_z
Re1 0.0000 0.0000 0.0000
Br1 0.0000 0.0000 0.2731
Br2 0.0000 0.0000 0.5000
```

## Properties
The polymorph energy (0 for the lowest one) comes out at 414 meV/atom. The calculation puts the formation energy without anion corrections at 454 meV/atom.